Record 1
This record from the Alexandria database describes an optimized crystal structure of Pr2NdN3. The functional is GGA-PBE.

Values from the calculation:
Uncorrected formation energy = -1.311 eV/atom
SG = Pnma

abc: 5.199 7.360 11.046
angles: 90.00 90.00 90.01
Fractional positions:
N 0.750 0.368 0.082
N 0.250 0.131 0.251
N 0.250 0.628 0.583
N 0.250 0.132 0.582
N 0.750 0.869 0.749
N 0.750 0.872 0.083
N 0.250 0.128 0.917
N 0.750 0.868 0.418
N 0.750 0.372 0.417
N 0.250 0.632 0.918
N 0.750 0.369 0.751
N 0.250 0.631 0.249
Pr 0.250 0.373 0.750
Pr 0.750 0.127 0.583
Pr 0.250 0.373 0.083
Pr 0.750 0.127 0.250
Pr 0.750 0.627 0.250
Pr 0.750 0.627 0.917
Pr 0.250 0.873 0.417
Pr 0.250 0.873 0.750
Nd 0.250 0.873 0.083
Nd 0.750 0.127 0.917
Nd 0.250 0.373 0.417
Nd 0.750 0.627 0.583

Record 2
This record from the Alexandria database describes an optimized crystal structure of MnAgPIrBr. The functional is GGA-PBE.

Values from the calculation:
Uncorrected formation energy = -0.073 eV/atom
SG = Cm

abc: 4.029 4.013 7.603
angles: 74.79 90.00 59.87
Each line ends with the local moment (μB).
Fractional positions:
Ir 0.022 0.824 0.470  -0.03
Br 0.893 0.083 0.084  0.02
Ag 0.487 0.895 0.871  0.01
P 0.371 0.127 0.515  -0.07
Mn 0.748 0.373 0.647  3.50

Record 3
This record from the Alexandria database describes an optimized crystal structure of CdAgSnAu. The functional is GGA-PBE.

Values from the calculation:
E_form = -0.01 eV per formula unit
SG = F-43m

abc: 4.920 4.920 4.920
angles: 60.00 60.00 60.00
Fractional positions:
Ag 0.000 0.000 0.000
Cd 0.750 0.750 0.750
Au 0.500 0.500 0.500
Sn 0.250 0.250 0.250

Record 4
This record from the Alexandria database describes an optimized crystal structure of Rb2PmBe2S4. The functional is GGA-PBE.

Values from the calculation:
Uncorrected formation energy = -1.195 eV/atom
SG = C2/m

abc: 3.739 8.197 7.717
angles: 111.63 104.02 90.00
Each line ends with the local moment (μB).
Fractional positions:
Be 0.327 0.030 0.655  0.00
Be 0.673 0.970 0.345  0.00
S 0.537 0.769 0.074  0.00
S 0.463 0.231 0.926  0.00
S 0.208 0.130 0.416  0.00
S 0.792 0.870 0.584  0.00
Rb 0.870 0.453 0.741  0.00
Rb 0.130 0.547 0.259  0.00
Pm 0.000 0.000 0.000  0.06

Record 5
This record from the Alexandria database describes an optimized crystal structure of Ce2TaGa2Ru5. The functional is GGA-PBE.

Values from the calculation:
E_form = -3.91 eV per formula unit
SG = P4/mbm

abc: 3.333 10.206 10.206
angles: 90.00 90.00 90.00
Each line ends with the local moment (μB).
Fractional positions:
Ru 0.500 0.934 0.200  -0.01
Ru 0.500 0.434 0.300  -0.01
Ru 0.500 0.300 0.566  -0.01
Ru 0.500 0.066 0.800  -0.01
Ru 0.500 0.500 0.000  0.00
Ru 0.500 0.566 0.700  -0.01
Ru 0.500 0.000 0.500  0.00
Ru 0.500 0.700 0.434  -0.01
Ru 0.500 0.200 0.066  -0.01
Ru 0.500 0.800 0.934  -0.01
Ce 0.000 0.328 0.828  0.08
Ce 0.000 0.172 0.328  0.08
Ce 0.000 0.828 0.672  0.08
Ce 0.000 0.672 0.172  0.08
Ta 0.000 0.000 0.000  0.00
Ta 0.000 0.500 0.500  0.00
Ga 0.000 0.373 0.127  0.00
Ga 0.000 0.127 0.627  0.00
Ga 0.000 0.873 0.373  0.00
Ga 0.000 0.627 0.873  0.00

Record 6
This record from the Alexandria database describes an optimized crystal structure of ScPaSnO6. The functional is GGA-PBE.

Values from the calculation:
Uncorrected formation energy = -2.882 eV/atom
SG = P-31c

abc: 5.369 5.369 9.646
angles: 90.00 90.00 120.00
Fractional positions:
Sn 0.333 0.667 0.250
Sn 0.667 0.333 0.750
Pa 0.000 0.000 0.500
Pa 0.000 0.000 0.000
O 0.339 0.005 0.632
O 0.665 0.005 0.868
O 0.665 0.661 0.632
O 0.339 0.335 0.868
O 0.005 0.339 0.132
O 0.335 0.995 0.132
O 0.661 0.995 0.368
O 0.005 0.665 0.368
O 0.661 0.665 0.132
O 0.335 0.339 0.368
O 0.995 0.661 0.868
O 0.995 0.335 0.632
Sc 0.667 0.333 0.250
Sc 0.333 0.667 0.750